# Co2IrPt, PBEsol geometry, DFT SCAN
data_Co2IrPt
_chemical_formula_sum 'Co6 Ir3 Pt3'
_cell_length_a 2.6467
_cell_length_b 2.6467
_cell_length_c 25.1900
_cell_angle_alpha 90.00
_cell_angle_beta 90.00
_cell_angle_gamma 120.00
_space_group_name_H-M_alt 'R -3 m'
_space_group_IT_number 166
_space_group_name_Hall '-R 3 2"'
loop_
_atom_site_label
_atom_site_type_symbol
_atom_site_fract_x
_atom_site_fract_y
_atom_site_fract_z
Co1 Co 0.0000 0.0000 0.2487
Ir1 Ir 0.0000 0.0000 0.5000
Pt1 Pt 0.0000 0.0000 0.0000
# DOS(E_F): 1.033 states/eV per atom
# formation enthalpy at 0 K: -0.0113 eV/atom
# energy above the most stable polymorph in this dataset: 2.8 kJ/mol of atoms


# Co2IrPt, PBEsol geometry, DFT SCAN
data_Co2IrPt
_chemical_formula_sum 'Co4 Ir2 Pt2'
_cell_length_a 3.987
_cell_length_b 2.634
_cell_length_c 9.627
_cell_angle_alpha 90.00
_cell_angle_beta 90.00
_cell_angle_gamma 90.00
_space_group_name_H-M_alt 'A m m 2'
_space_group_IT_number 38
_space_group_name_Hall 'A 2 -2'
loop_
_atom_site_label
_atom_site_type_symbol
_atom_site_fract_x
_atom_site_fract_y
_atom_site_fract_z
Co1 Co 0.000 0.000 0.000
Co2 Co 0.500 0.000 0.130
Ir1 Ir 0.500 0.000 0.399
Pt1 Pt 0.000 0.000 0.738
# DOS(E_F): 0.761 states/eV per atom
# formation enthalpy at 0 K: -0.0082 eV/atom
# energy above the most stable polymorph in this dataset: 3.1 kJ/mol of atoms


Among the records above, which one has the lowest energy above the most stable polymorph in this dataset? number 1